[1]
Here is crystalline Tb2PmNd at its relaxed geometry from Alexandria. Energies are from GGA-PBE.

```
data_Tb2PmNd
_symmetry_space_group_name_H-M 'R -3 m'
_symmetry_Int_Tables_number 166
_symmetry_space_group_name_Hall '-R 3 2"'
_cell_length_a 3.6156
_cell_length_b 3.6156
_cell_length_c 35.2459
_cell_angle_alpha 90.00
_cell_angle_beta 90.00
_cell_angle_gamma 120.00
loop_
_atom_site_label
_atom_site_type_symbol
_atom_site_fract_x
_atom_site_fract_y
_atom_site_fract_z
Tb1 Tb 0.0000 0.0000 0.2502
Pm1 Pm 0.0000 0.0000 0.0000
Nd1 Nd 0.0000 0.0000 0.5000
```

Output
DFT formation energy   11 meV/atom
Raw total energy   -0.3442 Ry/atom
Energy relative to the lowest polymorph listed for this composition   0 meV/atom



[2]
Here is crystalline YbPd2Pb at its relaxed geometry from Alexandria. Energies are from GGA-PBE.

```
data_YbPd2Pb
_symmetry_space_group_name_H-M 'F m -3 m'
_symmetry_Int_Tables_number 225
_symmetry_space_group_name_Hall '-F 4 2 3'
_cell_length_a 6.8944
_cell_length_b 6.8944
_cell_length_c 6.8944
_cell_angle_alpha 90.00
_cell_angle_beta 90.00
_cell_angle_gamma 90.00
loop_
_atom_site_label
_atom_site_type_symbol
_atom_site_fract_x
_atom_site_fract_y
_atom_site_fract_z
Yb1 Yb 0.0000 0.0000 0.0000
Pd1 Pd 0.2500 0.2500 0.2500
Pb1 Pb 0.0000 0.0000 0.5000
```

Output
DFT formation energy   -593 meV/atom
Raw total energy   -0.3306 Ry/atom



[3]
Here is crystalline CoAs at its relaxed geometry from Alexandria. Energies are from GGA-PBE.

```
data_CoAs
_symmetry_space_group_name_H-M 'P 21 3'
_symmetry_Int_Tables_number 198
_symmetry_space_group_name_Hall 'P 2ac 2ab 3'
_cell_length_a 4.7530
_cell_length_b 4.7530
_cell_length_c 4.7530
_cell_angle_alpha 90.00
_cell_angle_beta 90.00
_cell_angle_gamma 90.00
loop_
_atom_site_label
_atom_site_type_symbol
_atom_site_fract_x
_atom_site_fract_y
_atom_site_fract_z
Co1 Co 0.0698 0.0698 0.0698
As1 As 0.0650 0.5650 0.9350
```

Output
DFT formation energy   -50 meV/atom
Raw total energy   -0.4357 Ry/atom